{"formula": "Pb3ClO3", "functional": "PBE-GGA", "state": "optimized geometry", "cell": [[6.154, 0.000, 0.000], [0.000, 6.485, 0.000], [0.000, 0.000, 17.041]], "species": ["Pb", "Pb", "Pb", "Pb", "Pb", "Pb", "Pb", "Pb", "Pb", "Pb", "Pb", "Pb", "Cl", "Cl", "Cl", "Cl", "O", "O", "O", "O", "O", "O", "O", "O", "O", "O", "O", "O"], "frac_coords": [[0.000, 0.036, 0.000], [0.000, 0.269, 0.182], [0.000, 0.272, 0.814], [0.000, 0.728, 0.314], [0.000, 0.731, 0.682], [0.000, 0.964, 0.500], [0.500, 0.082, 0.363], [0.500, 0.127, 0.605], [0.500, 0.386, 0.981], [0.500, 0.614, 0.481], [0.500, 0.873, 0.105], [0.500, 0.918, 0.863], [0.000, 0.361, 0.520], [0.000, 0.639, 0.020], [0.500, 0.460, 0.802], [0.500, 0.540, 0.302], [0.000, 0.038, 0.270], [0.000, 0.962, 0.770], [0.232, 0.156, 0.916], [0.232, 0.844, 0.416], [0.237, 0.126, 0.088], [0.237, 0.874, 0.588], [0.500, 0.225, 0.480], [0.500, 0.775, 0.980], [0.763, 0.126, 0.088], [0.763, 0.874, 0.588], [0.768, 0.156, 0.916], [0.768, 0.844, 0.416]], "spacegroup": "No. 26", "total_energy_ev_per_atom": -4.987}